Record 1
A PBEsol-optimized structure of KCd2As. Source: Alexandria, functional meta-GGA SCAN.

Unit cell a=3.545 b=5.189 c=5.231 alpha=90.00 beta=90.00 gamma=90.00
Element x y z (fractional)
K1 0.500 0.000 0.500
As1 0.000 0.500 0.500
Cd1 0.500 0.500 0.000
Cd2 0.000 0.000 0.000

Its total energy is -22.25 eV per atom. The value obtained for the theoretical density is 5.8 g cm⁻³. The value obtained for the magnetic moment is 0.000 μB per atom. The volume comes out at 24.1 A^3/atom. Its calculated formation energy is 0.34 eV/f.u.

Record 2
A PBEsol-optimized structure of GePSO2. Source: Alexandria, functional meta-GGA SCAN.

Unit cell a=3.483 b=3.483 c=5.917 alpha=90.00 beta=90.00 gamma=90.00
Element x y z (fractional)
O1 0.500 0.000 0.000
O2 0.000 0.500 0.000
P1 0.000 0.000 0.500
Ge1 0.000 0.000 0.000
S1 0.500 0.500 0.500

Its total energy is -10.60 eV per atom. The value obtained for the theoretical density is 3.9 g cm⁻³. The value obtained for the magnetic moment is 0.000 μB per atom. The volume comes out at 14.4 A^3/atom. The energy relative to the elements, uncorrected is -0.281 eV/atom.

Record 3
A PBEsol-optimized structure of Ba5P9. Source: Alexandria, functional meta-GGA SCAN.

Unit cell a=9.306 b=9.306 c=10.705 alpha=105.08 beta=105.08 gamma=113.65
Element x y z (fractional)
P1 0.034 0.245 0.479
P2 0.718 0.637 0.350
P3 0.228 0.997 0.943
P4 0.766 0.555 0.521
P5 0.448 0.145 0.152
P6 0.536 0.804 0.557
P7 0.247 0.978 0.443
P8 0.054 0.286 0.057
P9 0.618 0.037 0.150
P10 0.805 0.516 0.021
P11 0.546 0.743 0.348
P12 0.887 0.468 0.850
P13 0.395 0.198 0.652
P14 0.495 0.784 0.979
P15 0.287 0.368 0.650
P16 0.993 0.296 0.848
P17 0.028 0.028 0.000
P18 0.278 0.778 0.500
Ba1 0.232 0.758 0.134
Ba2 0.410 0.410 0.000
Ba3 0.682 0.652 0.783
Ba4 0.348 0.374 0.366
Ba5 0.902 0.432 0.283
Ba6 0.660 0.160 0.500
Ba7 0.869 0.899 0.217
Ba8 0.008 0.982 0.634
Ba9 0.624 0.098 0.866
Ba10 0.149 0.619 0.717

Its total energy is -21.79 eV per atom. The value obtained for the theoretical density is 4.3 g cm⁻³. The value obtained for the magnetic moment is 0.000 μB per atom. The volume comes out at 26.7 A^3/atom. Its calculated formation energy is -13.69 eV/f.u.

Record 4
A PBEsol-optimized structure of IrC3Se. Source: Alexandria, functional meta-GGA SCAN.

Unit cell a=3.779 b=3.779 c=3.779 alpha=90.00 beta=90.00 gamma=90.00
Element x y z (fractional)
Se1 0.000 0.000 0.000
C1 0.000 0.500 0.000
C2 0.000 0.000 0.500
C3 0.500 0.000 0.000
Ir1 0.500 0.500 0.500

Its total energy is -21.14 eV per atom. The value obtained for the theoretical density is 9.5 g cm⁻³. The value obtained for the magnetic moment is 0.000 μB per atom. The volume comes out at 10.8 A^3/atom. The energy relative to the elements, uncorrected is 3.159 eV/atom.

Record 5
A PBEsol-optimized structure of MnNi5. Source: Alexandria, functional meta-GGA SCAN.

Unit cell a=4.019 b=4.281 c=4.281 alpha=120.00 beta=90.00 gamma=90.00
Element x y z (fractional)
Ni1 0.500 0.333 0.667
Ni2 0.500 0.667 0.333
Ni3 0.000 0.341 0.341
Ni4 0.000 0.659 0.000
Ni5 0.000 0.000 0.659
Mn1 0.500 0.000 0.000

Its total energy is -16.63 eV per atom. The value obtained for the theoretical density is 9.1 g cm⁻³. The value obtained for the magnetic moment is 1.156 μB per atom. The volume comes out at 10.6 A^3/atom. Its calculated formation energy is -0.66 eV/f.u.

Record 6
A PBEsol-optimized structure of PmNi2Sn. Source: Alexandria, functional meta-GGA SCAN.

Unit cell a=4.587 b=4.587 c=4.587 alpha=60.00 beta=60.00 gamma=60.00
Element x y z (fractional)
Sn1 0.000 0.000 0.000
Pm1 0.500 0.500 0.500
Ni1 0.250 0.250 0.250
Ni2 0.750 0.750 0.750

Its total energy is -28.44 eV per atom. The value obtained for the theoretical density is 9.3 g cm⁻³. The value obtained for the magnetic moment is 0.059 μB per atom. The volume comes out at 17.1 A^3/atom. Its calculated formation energy is -1.50 eV/f.u.